[1]
Material: Zr4CrFe
Method: DFT, PBE-GGA
State: optimized geometry

```
Zr4CrFe
1.0
2.659 -3.568 3.511
-1.753 -5.372 0.445
3.175 -4.200 -2.098
Zr Cr Fe
4 1 1
direct
0.874 0.375 0.375
0.375 0.375 0.874
0.375 0.874 0.375
0.375 0.375 0.375
0.750 0.750 0.750
0.000 0.000 0.000
```

Total energy in eV per atom: -7.939
DFT formation energy in eV per atom: 0.774
V in Å³/cell: 128.8
Space-group type: F-43m (216)

---

[2]
Material: TaMn2Cu2
Method: DFT, PBE-GGA
State: optimized geometry

```
TaMn2Cu2
1.0
7.008 0.000 0.000
0.000 7.008 0.000
0.000 0.000 2.820
Mn Cu Ta
4 4 2
direct
0.351 0.851 0.000
0.851 0.649 0.000
0.649 0.149 0.000
0.149 0.351 0.000
0.147 0.647 0.500
0.647 0.853 0.500
0.853 0.353 0.500
0.353 0.147 0.500
0.000 0.000 0.000
0.500 0.500 0.000
```

Total energy in eV per atom: -7.392
DFT formation energy in eV per atom: 0.284
V in Å³/cell: 138.5
Space-group type: P4/mbm (127)

---

[3]
Material: CaZrNi2
Method: DFT, PBE-GGA
State: optimized geometry

```
CaZrNi2
1.0
-2.347 -2.696 -2.803
-0.620 -4.376 1.048
-4.121 -1.487 1.200
Ni Ca Zr
2 1 1
direct
0.000 0.000 0.000
0.250 0.250 0.250
0.500 0.500 0.500
0.750 0.750 0.750
```

Total energy in eV per atom: -5.299
DFT formation energy in eV per atom: 0.229
V in Å³/cell: 66.3
Space-group type: F-43m (216)

---

[4]
Material: La3I7Br
Method: DFT, PBE-GGA
State: optimized geometry

```
La3I7Br
1.0
-7.451 -1.420 -0.618
1.776 -8.829 -1.125
-1.327 3.336 8.335
La I Br
3 7 1
direct
0.779 0.502 0.498
0.779 0.502 0.005
0.779 0.995 0.498
0.018 0.169 0.831
0.018 0.169 0.338
0.040 0.667 0.333
0.537 0.832 0.168
0.537 0.337 0.168
0.537 0.832 0.663
0.018 0.662 0.831
0.573 0.333 0.667
```

Total energy in eV per atom: -3.980
E_form (uncorrected) in eV/atom: -1.498
V in Å³/cell: 542.8
Space-group type: P3m1 (156)

---

[5]
Material: Al2IrW2
Method: DFT, PBE-GGA
State: optimized geometry

```
Al2IrW2
1.0
6.156 0.000 0.000
0.000 6.156 0.000
0.000 0.000 4.080
Ir Al W
2 4 4
direct
0.000 0.000 0.000
0.500 0.500 0.000
0.358 0.858 0.000
0.858 0.642 0.000
0.642 0.142 0.000
0.142 0.358 0.000
0.153 0.653 0.500
0.653 0.847 0.500
0.847 0.347 0.500
0.347 0.153 0.500
```

Total energy in eV per atom: -8.426
DFT formation energy in eV per atom: 0.025
V in Å³/cell: 154.6
Space-group type: P4/mbm (127)
Energy above the most stable polymorph in this dataset in meV per atom: 0.0

---

[6]
Material: LiCd2FeSn
Method: DFT, PBE-GGA
State: optimized geometry

```
LiCd2FeSn
1.0
-0.590 -1.356 4.840
0.846 -4.621 -1.192
4.948 0.700 0.799
Fe Li Sn Cd
1 1 1 2
direct
0.000 0.000 0.000
0.500 0.500 0.500
0.000 0.500 0.000
0.000 0.000 0.500
0.500 0.000 0.000
```

Total energy in eV per atom: -3.027
DFT formation energy in eV per atom: 0.214
V in Å³/cell: 124.1
Space-group type: P4/mmm (123)